Record 1
! LiSnPHO5 | Alexandria | PBE-GGA | optimized geometry; values from VASP
&SYSTEM
  ibrav = 0, nat = 18, ntyp = 5
/
ATOMIC_SPECIES
Li 6.94 Li.upf
Sn 118.71 Sn.upf
P 30.97 P.upf
H 1.01 H.upf
O 16.00 O.upf
CELL_PARAMETERS angstrom
-5.8046 -2.3833 0.5823
-1.1303 -2.1775 -4.0710
5.5858 -3.4184 8.4203
ATOMIC_POSITIONS crystal
Li 0.5967 0.1278 0.6634
Li 0.4033 0.8722 0.3366
Sn 0.0000 0.0000 0.5000
Sn 0.0000 0.0000 0.0000
P 0.7494 0.2489 0.3414
P 0.2506 0.7511 0.6586
H 0.2925 0.3993 0.2909
H 0.7075 0.6007 0.7091
O 0.8360 0.4425 0.7313
O 0.5200 0.1631 0.3162
O 0.2772 0.3126 0.5640
O 0.5899 0.4629 0.9731
O 0.8582 0.0227 0.1807
O 0.1418 0.9773 0.8193
O 0.4101 0.5371 0.0269
O 0.7228 0.6874 0.4360
O 0.4800 0.8369 0.6838
O 0.1640 0.5575 0.2687
! energy above the lowest structure with this stoichiometry: 443 meV/atom



Record 2
! LiSnPHO5 | Alexandria | PBE-GGA | optimized geometry; values from VASP
&SYSTEM
  ibrav = 0, nat = 18, ntyp = 5
/
ATOMIC_SPECIES
Li 6.94 Li.upf
Sn 118.71 Sn.upf
P 30.97 P.upf
H 1.01 H.upf
O 16.00 O.upf
CELL_PARAMETERS angstrom
5.8810 0.0448 -0.0344
-2.4960 7.8796 0.1141
-0.5942 -1.8279 4.7750
ATOMIC_POSITIONS crystal
Li 0.3998 0.8425 0.7460
Li 0.6002 0.1575 0.2540
Sn 0.0000 0.5000 0.0000
Sn 0.0000 0.0000 0.0000
P 0.3518 0.2120 0.6535
P 0.6482 0.7880 0.3465
H 0.0402 0.2882 0.3695
H 0.9598 0.7118 0.6305
O 0.0666 0.7652 0.8265
O 0.2018 0.3369 0.6806
O 0.3809 0.6990 0.3497
O 0.2425 0.0476 0.3669
O 0.3371 0.1246 0.8913
O 0.6629 0.8754 0.1087
O 0.7575 0.9524 0.6331
O 0.6191 0.3010 0.6503
O 0.7982 0.6631 0.3194
O 0.9334 0.2348 0.1735
! energy above the lowest structure with this stoichiometry: 0 meV/atom



Record 3
! Li4Sn2P4H3O16 | Alexandria | PBE-GGA | optimized geometry; values from VASP
&SYSTEM
  ibrav = 0, nat = 29, ntyp = 5
/
ATOMIC_SPECIES
Li 6.94 Li.upf
Sn 118.71 Sn.upf
P 30.97 P.upf
H 1.01 H.upf
O 16.00 O.upf
CELL_PARAMETERS angstrom
4.8916 -0.0449 0.0130
-1.5737 8.0008 0.0396
-0.1956 -0.1011 8.9715
ATOMIC_POSITIONS crystal
Li 0.0882 0.6759 0.6435
Li 0.3740 0.8330 0.1350
Li 0.6344 0.1512 0.8557
Li 0.8813 0.3159 0.3375
Sn 0.9805 0.5009 0.9909
Sn 0.4828 0.9937 0.4985
P 0.1581 0.2848 0.6652
P 0.3610 0.2260 0.1313
P 0.6034 0.7774 0.8460
P 0.8537 0.7162 0.3325
H 0.5009 0.5120 0.6925
H 0.5686 0.5107 0.4545
H 0.0465 0.0137 0.0055
O 0.0474 0.8015 0.4605
O 0.9897 0.3162 0.8043
O 0.1256 0.3260 0.1567
O 0.3420 0.4707 0.6214
O 0.3942 0.6855 0.9640
O 0.4430 0.8097 0.7026
O 0.2264 0.0417 0.0690
O 0.3595 0.1691 0.7007
O 0.6126 0.8045 0.3025
O 0.7671 0.9423 0.9127
O 0.5107 0.1957 0.2752
O 0.5608 0.3125 0.0096
O 0.7338 0.5267 0.3900
O 0.7941 0.6489 0.8010
O 0.0151 0.6869 0.1924
O 0.9735 0.2325 0.5287
! calculated total energy: -0.23189 Ha/atom



Record 4
! LiTi2P4H3O16 | Alexandria | PBE-GGA | optimized geometry; values from VASP
&SYSTEM
  ibrav = 0, nat = 26, ntyp = 5
/
ATOMIC_SPECIES
Li 6.94 Li.upf
Ti 47.87 Ti.upf
P 30.97 P.upf
H 1.01 H.upf
O 16.00 O.upf
CELL_PARAMETERS angstrom
-1.5505 2.6125 -3.9741
-5.5142 1.1061 5.0523
3.8028 6.2559 2.8441
ATOMIC_POSITIONS crystal
Li 0.3968 0.8589 0.1313
Ti 0.9882 0.4881 0.0008
Ti 0.4957 0.0059 0.5071
P 0.1161 0.2574 0.6502
P 0.3845 0.2324 0.1480
P 0.6073 0.7566 0.8481
P 0.8829 0.7456 0.3472
H 0.2199 0.4079 0.4121
H 0.7789 0.5911 0.5833
H 0.9481 0.9773 0.9851
O 0.1447 0.8640 0.4280
O 0.0663 0.3360 0.8236
O 0.1985 0.3713 0.1702
O 0.2285 0.4281 0.5368
O 0.3484 0.6709 0.9491
O 0.5295 0.8180 0.6708
O 0.2420 0.0611 0.0539
O 0.3275 0.1386 0.6679
O 0.6604 0.8561 0.3267
O 0.7428 0.9285 0.9570
O 0.4766 0.1814 0.3284
O 0.6516 0.3357 0.0569
O 0.7785 0.5721 0.4587
O 0.8006 0.6252 0.8271
O 0.9553 0.6727 0.1750
O 0.8506 0.1436 0.5714
! calculated total energy: -0.26348 Ha/atom



Record 5
! LiTlPHO3 | Alexandria | PBE-GGA | optimized geometry; values from VASP
&SYSTEM
  ibrav = 0, nat = 14, ntyp = 5
/
ATOMIC_SPECIES
H 1.01 H.upf
Li 6.94 Li.upf
O 16.00 O.upf
P 30.97 P.upf
Tl 204.38 Tl.upf
CELL_PARAMETERS angstrom
-2.8727 3.1071 6.7548
-5.1024 -1.4750 5.9434
4.0551 -2.4507 2.6958
ATOMIC_POSITIONS crystal
H 0.6200 0.5140 0.7598
H 0.4860 0.3800 0.2402
Li 0.1967 0.2985 0.8164
Li 0.7015 0.8033 0.1836
O 0.7908 0.6523 0.8437
O 0.3477 0.2092 0.1563
O 0.6632 0.6460 0.4074
O 0.3540 0.3368 0.5926
O 0.2875 0.9926 0.7251
O 0.0074 0.7125 0.2749
P 0.5896 0.7062 0.6818
P 0.2938 0.4104 0.3182
Tl 0.8833 0.9216 0.7489
Tl 0.0784 0.1167 0.2511
! calculated total energy: -0.20792 Ha/atom



Q: Which formula does entry 3 have?
A: Li4Sn2P4H3O16